! GGA-PBE RbSrCl2, relaxed; values from VASP
! D(E_F): 0.44 states/eV per atom
! mass density: 2.06 g/cm3
! formation energy without anion corrections: -1.69 eV/atom
! uncorrected energy: -3.27 eV/atom
&SYSTEM
  ibrav = 0, nat = 8, ntyp = 3
/
ATOMIC_SPECIES
Cl 35.45 Cl.upf
Rb 85.47 Rb.upf
Sr 87.62 Sr.upf
CELL_PARAMETERS angstrom
-5.6705 -4.3130 -1.8976
2.6842 -0.5164 -6.8474
2.3074 -8.2608 -2.4418
ATOMIC_POSITIONS angstrom
Cl -3.0563 -5.1483 -2.7945
Cl -0.6815 -10.4600 -9.9959
Rb 1.7492 -5.5960 -6.8308
Rb -1.4931 -2.4147 -4.3725
Cl 1.9702 -2.6041 -4.9852
Sr -2.4281 -7.4943 -4.3560
Cl 0.4097 -7.9680 -4.5980
Sr 0.0000 0.0000 0.0000